The following is a DFT calculation (PBE) of a relaxed HoAl3O crystal.

Cell lengths 4.3561, 4.3561, 4.3561 Å; angles 90.00, 90.00, 90.00 degrees
Atoms (fractional coordinates):
Al: 0.5000 0.5000 0.0000
Ho: 0.0000 0.0000 0.0000
Al: 0.5000 0.0000 0.5000
O: 0.5000 0.5000 0.5000
Al: 0.0000 0.5000 0.5000

electronic total energy	-4.741	eV per atom
space group	No. 221